Material: PmIn2TeO8
Method: DFT, PBE
State: optimized geometry

Cell: 4.905 4.905 6.909 Å, 90.00 90.00 90.15°
Sites, in units of the cell vectors:
Pm: 0.000 0.000 0.000
In: 0.500 0.500 0.262
In: 0.500 0.500 0.738
Te: 0.000 0.000 0.500
O: 0.187 0.813 0.289
O: 0.187 0.813 0.711
O: 0.285 0.285 0.500
O: 0.324 0.324 0.000
O: 0.676 0.676 0.000
O: 0.715 0.715 0.500
O: 0.813 0.187 0.289
O: 0.813 0.187 0.711

Output
Calculated total energy (eV per cell): -72.348
SG: Cmmm
ΔE_f (raw) (eV per atom): -1.61